Here is CaAlSe2 after structural relaxation from the Alexandria database. Energies are from GGA-PBEsol.

Summary:
The value obtained for the uncorrected formation energy is -1097 meV/atom. The calculation puts the total magnetization at 0.0 μB per formula unit. The density of states at the Fermi level comes out at 1.20 states/eV/f.u.

Cell: 3.7372 4.8701 5.5311 Å, 90.00 109.82 90.00°
Positions (direct):
Ca: 0.0000 0.0000 0.0000
Al: 0.2389 0.5000 0.4789
Se: 0.2899 0.0000 0.5799
Se: 0.5668 0.5000 0.1361